Record 1
Here is a geometry-optimized FeTc2As structure from Alexandria. Energies are from PBE.

```
data_FeTc2As
_chemical_formula_sum 'Fe1 Tc2 As1'
_cell_length_a 3.048
_cell_length_b 4.238
_cell_length_c 4.344
_cell_angle_alpha 90.00
_cell_angle_beta 90.00
_cell_angle_gamma 90.00
_space_group_name_H-M_alt 'P 1'
_space_group_IT_number 1
loop_
_space_group_symop_operation_xyz
'x,y,z'
loop_
_atom_site_label
_atom_site_type_symbol
_atom_site_fract_x
_atom_site_fract_y
_atom_site_fract_z
Fe1 Fe 0.000 0.000 0.000
Tc1 Tc 0.000 0.500 0.500
Tc2 Tc 0.500 0.500 0.000
As1 As 0.500 0.000 0.500
```

Properties
VASP energy = -32.94 eV per cell
space-group type = Pmmm, No. 47
spin magnetization = 2.12 μB per cell
energy above the lowest structure with this stoichiometry = 20.9 kJ/mol of atoms
formation energy = 0.226 eV/atom

Record 2
Here is a geometry-optimized CePmInBi structure from Alexandria. Energies are from PBE.

```
data_CePmInBi
_chemical_formula_sum 'Ce1 Pm1 In1 Bi1'
_cell_length_a 5.528
_cell_length_b 5.528
_cell_length_c 5.528
_cell_angle_alpha 60.00
_cell_angle_beta 60.00
_cell_angle_gamma 60.00
_space_group_name_H-M_alt 'P 1'
_space_group_IT_number 1
loop_
_space_group_symop_operation_xyz
'x,y,z'
loop_
_atom_site_label
_atom_site_type_symbol
_atom_site_fract_x
_atom_site_fract_y
_atom_site_fract_z
Ce1 Ce 0.000 0.000 0.000
Pm1 Pm 0.500 0.500 0.500
In1 In 0.750 0.750 0.750
Bi1 Bi 0.250 0.250 0.250
```

Properties
VASP energy = -19.14 eV per cell
space-group type = F-43m, No. 216
spin magnetization = 1.81 μB per cell
formation energy = -0.458 eV/atom

Record 3
Here is a geometry-optimized Y8Hg4PSe3 structure from Alexandria. Energies are from PBE.

```
data_Y8Hg4PSe3
_chemical_formula_sum 'Y8 Hg4 P1 Se3'
_cell_length_a 7.946
_cell_length_b 7.946
_cell_length_c 8.894
_cell_angle_alpha 116.45
_cell_angle_beta 116.45
_cell_angle_gamma 60.09
_space_group_name_H-M_alt 'P 1'
_space_group_IT_number 1
loop_
_space_group_symop_operation_xyz
'x,y,z'
loop_
_atom_site_label
_atom_site_type_symbol
_atom_site_fract_x
_atom_site_fract_y
_atom_site_fract_z
Y1 Y 0.235 0.235 0.721
Y2 Y 0.235 0.751 0.721
Y3 Y 0.249 0.765 0.279
Y4 Y 0.257 0.257 0.272
Y5 Y 0.743 0.743 0.728
Y6 Y 0.751 0.235 0.721
Y7 Y 0.765 0.249 0.279
Y8 Y 0.765 0.765 0.279
Hg1 Hg 0.000 0.000 0.000
Hg2 Hg 0.000 0.500 0.000
Hg3 Hg 0.500 0.000 0.000
Hg4 Hg 0.500 0.500 0.000
P1 P 0.000 0.000 0.500
Se1 Se 0.000 0.500 0.500
Se2 Se 0.500 0.000 0.500
Se3 Se 0.500 0.500 0.500
```

Properties
VASP energy = -86.48 eV per cell
space-group type = C2/m, No. 12
spin magnetization = 0.00 μB per cell
energy relative to the elements, uncorrected = -1106.3 meV/atom

Record 4
Here is a geometry-optimized TaFe2Pb2 structure from Alexandria. Energies are from PBE.

```
data_TaFe2Pb2
_chemical_formula_sum 'Ta2 Fe4 Pb4'
_cell_length_a 6.561
_cell_length_b 6.561
_cell_length_c 4.151
_cell_angle_alpha 90.00
_cell_angle_beta 90.00
_cell_angle_gamma 90.00
_space_group_name_H-M_alt 'P 1'
_space_group_IT_number 1
loop_
_space_group_symop_operation_xyz
'x,y,z'
loop_
_atom_site_label
_atom_site_type_symbol
_atom_site_fract_x
_atom_site_fract_y
_atom_site_fract_z
Ta1 Ta 0.000 0.000 0.000
Ta2 Ta 0.500 0.500 0.000
Fe1 Fe 0.125 0.375 0.000
Fe2 Fe 0.375 0.875 0.000
Fe3 Fe 0.625 0.125 0.000
Fe4 Fe 0.875 0.625 0.000
Pb1 Pb 0.179 0.679 0.500
Pb2 Pb 0.321 0.179 0.500
Pb3 Pb 0.679 0.821 0.500
Pb4 Pb 0.821 0.321 0.500
```

Properties
VASP energy = -66.04 eV per cell
space-group type = P4/mbm, No. 127
spin magnetization = 0.00 μB per cell
energy above the lowest structure with this stoichiometry = 0.0 kJ/mol of atoms
formation energy = 0.635 eV/atom